Entry 1:
This record from the Alexandria database describes a relaxed BaNi3Ag crystal. The functional is GGA-PBEsol.

Summary:
Symmetry = No. 221
ΔE_f = 1900.8 meV per atom

Unit cell a=4.793 b=4.793 c=4.793 alpha=90.00 beta=90.00 gamma=90.00
Fractional positions:
Ni 0.000 0.500 0.000
Ni 0.000 0.000 0.500
Ni 0.500 0.000 0.000
Ba 0.000 0.000 0.000
Ag 0.500 0.500 0.500

=====

Entry 2:
This record from the Alexandria database describes a relaxed Sr2HgP crystal. The functional is GGA-PBEsol.

Summary:
Symmetry = No. 166
Offset from the most stable computed form = 4.3 kJ per mole of atoms
ΔE_f = -752.0 meV per atom

Unit cell a=4.441 b=4.441 c=7.956 alpha=73.79 beta=73.79 gamma=60.00
Fractional positions:
Sr 0.735 0.735 0.796
Sr 0.265 0.265 0.204
Hg 0.500 0.500 0.500
P 0.000 0.000 0.000

=====

Entry 3:
This record from the Alexandria database describes a relaxed AlRhPb2 crystal. The functional is GGA-PBEsol.

Summary:
Symmetry = No. 71
ΔE_f = 220.0 meV per atom

Unit cell a=4.087 b=5.005 c=5.199 alpha=118.77 beta=113.14 gamma=90.00
Fractional positions:
Pb 0.761 0.761 0.521
Pb 0.239 0.239 0.479
Rh 0.500 0.000 0.000
Al 0.000 0.500 0.000

=====

Entry 4:
This record from the Alexandria database describes a relaxed YMgAs crystal. The functional is GGA-PBEsol.

Summary:
Symmetry = No. 156
Offset from the most stable computed form = 7.3 kJ per mole of atoms
ΔE_f = -649.9 meV per atom

Unit cell a=4.013 b=4.013 c=5.586 alpha=90.00 beta=90.00 gamma=120.00
Fractional positions:
Y 0.667 0.333 0.267
As 0.000 0.000 0.991
Mg 0.333 0.667 0.742

=====

Entry 5:
This record from the Alexandria database describes a relaxed RuW2Br crystal. The functional is GGA-PBEsol.

Summary:
Symmetry = No. 160
Offset from the most stable computed form = 0.0 kJ per mole of atoms

Unit cell a=2.912 b=2.912 c=8.835 alpha=80.51 beta=80.51 gamma=60.00
Fractional positions:
Br 0.497 0.497 0.508
Ru 0.254 0.254 0.237
W 0.996 0.996 0.011
W 0.752 0.752 0.743

=====

Entry 6:
This record from the Alexandria database describes a relaxed SmFeC2 crystal. The functional is GGA-PBEsol.

Summary:
Symmetry = No. 38
ΔE_f = -278.2 meV per atom

Unit cell a=3.677 b=3.796 c=3.677 alpha=90.00 beta=75.41 gamma=90.00
Fractional positions:
C 0.546 0.500 0.859
C 0.859 0.500 0.546
Fe 0.386 0.500 0.386
Sm 0.994 0.000 0.994

=====

Entry 7:
This record from the Alexandria database describes a relaxed MgAg3 crystal. The functional is GGA-PBEsol.

Summary:
Symmetry = No. 185
Offset from the most stable computed form = 9.6 kJ per mole of atoms
ΔE_f = -76.4 meV per atom

Unit cell a=7.750 b=7.750 c=8.370 alpha=90.00 beta=90.00 gamma=120.00
Fractional positions:
Ag 0.688 0.688 0.634
Ag 0.000 0.312 0.634
Ag 0.312 0.000 0.634
Ag 0.312 0.312 0.134
Ag 0.000 0.688 0.134
Ag 0.688 0.000 0.134
Ag 0.310 0.310 0.802
Ag 0.000 0.690 0.802
Ag 0.690 0.000 0.802
Ag 0.690 0.690 0.302
Ag 0.000 0.310 0.302
Ag 0.310 0.000 0.302
Ag 0.667 0.333 0.719
Ag 0.333 0.667 0.219
Ag 0.667 0.333 0.219
Ag 0.333 0.667 0.719
Ag 0.000 0.000 0.969
Ag 0.000 0.000 0.469
Mg 0.629 0.629 0.968
Mg 0.000 0.371 0.968
Mg 0.371 0.000 0.968
Mg 0.371 0.371 0.468
Mg 0.000 0.629 0.468
Mg 0.629 0.000 0.468

=====

Entry 8:
This record from the Alexandria database describes a relaxed B2MoAs crystal. The functional is GGA-PBEsol.

Summary:
Symmetry = No. 122
ΔE_f = 741.7 meV per atom

Unit cell a=5.024 b=5.652 c=5.024 alpha=63.61 beta=90.00 gamma=116.39
Fractional positions:
Mo 0.750 0.500 0.750
Mo 0.000 0.000 0.000
B 0.617 0.750 0.375
B 0.133 0.750 0.875
B 0.875 0.250 0.617
B 0.375 0.250 0.133
As 0.250 0.500 0.250
As 0.500 0.000 0.500